# 1
LaTcAsO PBE-GGA relaxed; ΔE to the lowest computed polymorph = 1778 meV per atom; space group = P4/nmm
1.0
4.2632 0.0000 0.0000
0.0000 4.2632 0.0000
0.0000 0.0000 7.5280
La Tc As O
2 2 2 2
Direct
0.2500 0.7500 0.0000
0.7500 0.2500 0.0000
0.2500 0.2500 0.3896
0.7500 0.7500 0.6104
0.2500 0.2500 0.7131
0.7500 0.7500 0.2869
0.2500 0.7500 0.5000
0.7500 0.2500 0.5000

# 2
BaGdAuS3 PBE-GGA relaxed; total energy = -62.80 eV for the cell shown; space group = C2/m
1.0
8.9364 -2.0374 0.0000
8.9364 2.0374 0.0000
-1.6603 0.0000 8.3168
Ba Gd Au S
2 2 2 6
Direct
0.1325 0.1325 0.0788
0.8675 0.8675 0.9212
0.1628 0.1628 0.5853
0.8372 0.8372 0.4147
0.4615 0.4615 0.2827
0.5385 0.5385 0.7173
0.0000 0.0000 0.5000
0.3188 0.3188 0.1840
0.3231 0.3231 0.6291
0.5000 0.5000 0.0000
0.6769 0.6769 0.3709
0.6812 0.6812 0.8160

# 3
PmFeSi PBE-GGA relaxed; ΔE to the lowest computed polymorph = 596 meV per atom; space group = F-43m
1.0
0.0000 3.2169 3.2169
3.2169 0.0000 3.2169
3.2169 3.2169 0.0000
Pm Fe Si
1 1 1
Direct
0.0000 0.0000 0.0000
0.5000 0.5000 0.5000
0.7500 0.7500 0.7500

# 4
NaNbSn PBE-GGA relaxed; ΔE to the lowest computed polymorph = 0 meV per atom; space group = F-43m
1.0
0.0000 3.3973 3.3973
3.3973 0.0000 3.3973
3.3973 3.3973 0.0000
Na Nb Sn
1 1 1
Direct
0.0000 0.0000 0.0000
0.5000 0.5000 0.5000
0.2500 0.2500 0.2500

# 5
DyBeTlSe3 PBE-GGA relaxed; total energy = -56.03 eV for the cell shown; space group = Cmcm
1.0
1.9910 -7.4905 0.0000
1.9910 7.4905 0.0000
0.0000 0.0000 10.8644
Dy Be Tl Se
2 2 2 6
Direct
0.0000 0.0000 0.0000
0.0000 0.0000 0.5000
0.4636 0.5364 0.7500
0.5364 0.4636 0.2500
0.2484 0.7516 0.2500
0.7516 0.2484 0.7500
0.0566 0.9434 0.7500
0.3779 0.6221 0.5805
0.3779 0.6221 0.9195
0.6221 0.3779 0.0805
0.6221 0.3779 0.4195
0.9434 0.0566 0.2500

# 6
ZrMo PBE-GGA relaxed; energy relative to the elements = 0.306 eV per atom; ΔE to the lowest computed polymorph = 298 meV per atom; space group = Amm2
1.0
4.8945 0.0000 0.0000
0.0000 2.7283 5.6683
0.0000 -2.7283 5.6683
Zr Mo
4 4
Direct
0.0000 0.0000 0.0000
0.0000 0.9997 0.5095
0.0000 0.5095 0.9997
0.5000 0.1400 0.1400
0.0000 0.5030 0.5030
0.5000 0.1397 0.6385
0.5000 0.6319 0.6319
0.5000 0.6385 0.1397